Entry from Alexandria: a relaxed structure of HoInNiPt (PBE). Values from VASP.

DFT total energy   -5.444 eV per atom
Spin magnetization   0.00 μB/f.u.
Symmetry   F-43m (216)
Density of states at the Fermi level   3.237 states/eV/f.u.
Formation energy from the elements   -0.660 eV per atom

Structure (Quantum ESPRESSO input):
```
&SYSTEM
  ibrav = 0, nat = 4, ntyp = 4
/
ATOMIC_SPECIES
In 114.82 In.upf
Ni 58.69 Ni.upf
Pt 195.08 Pt.upf
Ho 164.93 Ho.upf
ATOMIC_POSITIONS crystal
In 0.750 0.750 0.750
Ni 0.000 0.000 0.000
Pt 0.500 0.500 0.500
Ho 0.250 0.250 0.250
CELL_PARAMETERS angstrom
4.707 0.000 0.000
2.353 4.076 0.000
2.353 1.359 3.843
```

***

Entry from Alexandria: a relaxed structure of Ho3In3NiRu2 (PBE). Values from VASP.

DFT total energy   -5.573 eV per atom
Spin magnetization   0.00 μB/f.u.
Symmetry   P-62m (189)
Density of states at the Fermi level   8.505 states/eV/f.u.
Formation energy from the elements   -0.431 eV per atom

Structure (Quantum ESPRESSO input):
```
&SYSTEM
  ibrav = 0, nat = 9, ntyp = 4
/
ATOMIC_SPECIES
Ho 164.93 Ho.upf
Ru 101.07 Ru.upf
In 114.82 In.upf
Ni 58.69 Ni.upf
ATOMIC_POSITIONS crystal
Ho 0.000 0.591 0.591
Ho 0.000 0.000 0.409
Ho 0.000 0.409 0.000
Ru 0.500 0.333 0.667
Ru 0.500 0.667 0.333
In 0.500 0.747 0.000
In 0.500 0.000 0.747
In 0.500 0.253 0.253
Ni 0.000 0.000 0.000
CELL_PARAMETERS angstrom
3.827 0.000 0.000
0.000 7.502 0.000
0.000 -3.751 6.497
```

***

Entry from Alexandria: a relaxed structure of Sr2HoIn12Ni3 (PBE). Values from VASP.

DFT total energy   -3.272 eV per atom
Spin magnetization   0.00 μB/f.u.
Symmetry   R-3m (166)
Density of states at the Fermi level   9.267 states/eV/f.u.
Formation energy from the elements   -0.041 eV per atom

Structure (Quantum ESPRESSO input):
```
&SYSTEM
  ibrav = 0, nat = 18, ntyp = 4
/
ATOMIC_SPECIES
In 114.82 In.upf
Ni 58.69 Ni.upf
Ho 164.93 Ho.upf
Sr 87.62 Sr.upf
ATOMIC_POSITIONS crystal
In 0.726 0.726 0.108
In 0.441 0.845 0.845
In 0.274 0.274 0.892
In 0.155 0.559 0.155
In 0.155 0.155 0.559
In 0.845 0.845 0.441
In 0.845 0.441 0.845
In 0.108 0.726 0.726
In 0.726 0.108 0.726
In 0.892 0.274 0.274
In 0.274 0.892 0.274
In 0.559 0.155 0.155
Ni 0.000 0.000 0.500
Ni 0.500 0.000 0.000
Ni 0.000 0.500 0.000
Ho 0.000 0.000 0.000
Sr 0.587 0.587 0.587
Sr 0.413 0.413 0.413
CELL_PARAMETERS angstrom
-3.843 4.625 -6.231
-3.729 -4.722 -6.228
-8.655 -0.105 0.237
```

***

Entry from Alexandria: a relaxed structure of TbHoInNi (PBE). Values from VASP.

DFT total energy   -4.747 eV per atom
Spin magnetization   0.00 μB/f.u.
Symmetry   F-43m (216)
Density of states at the Fermi level   3.812 states/eV/f.u.
Formation energy from the elements   -0.315 eV per atom

Structure (Quantum ESPRESSO input):
```
&SYSTEM
  ibrav = 0, nat = 4, ntyp = 4
/
ATOMIC_SPECIES
Ni 58.69 Ni.upf
Tb 158.93 Tb.upf
In 114.82 In.upf
Ho 164.93 Ho.upf
ATOMIC_POSITIONS crystal
Ni 0.250 0.250 0.250
Tb 0.000 0.000 0.000
In 0.750 0.750 0.750
Ho 0.500 0.500 0.500
CELL_PARAMETERS angstrom
-1.764 3.169 3.573
-4.972 1.072 0.222
-2.825 -1.804 3.833
```

***

Entry from Alexandria: a relaxed structure of YHoInNi (PBE). Values from VASP.

DFT total energy   -5.218 eV per atom
Spin magnetization   0.00 μB/f.u.
Symmetry   F-43m (216)
Density of states at the Fermi level   3.796 states/eV/f.u.
Formation energy from the elements   -0.327 eV per atom

Structure (Quantum ESPRESSO input):
```
&SYSTEM
  ibrav = 0, nat = 4, ntyp = 4
/
ATOMIC_SPECIES
Ni 58.69 Ni.upf
Ho 164.93 Ho.upf
Y 88.91 Y.upf
In 114.82 In.upf
ATOMIC_POSITIONS crystal
Ni 0.250 0.250 0.250
Ho 0.500 0.500 0.500
Y 0.000 0.000 0.000
In 0.750 0.750 0.750
CELL_PARAMETERS angstrom
-2.747 4.116 -1.183
-3.032 2.124 3.490
1.202 4.521 2.001
```

***

Entry from Alexandria: a relaxed structure of Ho2Zn2InNi5 (PBE). Values from VASP.

DFT total energy   -4.637 eV per atom
Spin magnetization   0.00 μB/f.u.
Symmetry   P4/mbm (127)
Density of states at the Fermi level   6.331 states/eV/f.u.
Formation energy from the elements   -0.302 eV per atom

Structure (Quantum ESPRESSO input):
```
&SYSTEM
  ibrav = 0, nat = 20, ntyp = 4
/
ATOMIC_SPECIES
Ni 58.69 Ni.upf
Ho 164.93 Ho.upf
In 114.82 In.upf
Zn 65.41 Zn.upf
ATOMIC_POSITIONS crystal
Ni 0.500 0.786 0.936
Ni 0.500 0.064 0.786
Ni 0.500 0.214 0.064
Ni 0.500 0.714 0.436
Ni 0.500 0.500 0.000
Ni 0.500 0.564 0.714
Ni 0.500 0.436 0.286
Ni 0.500 0.936 0.214
Ni 0.500 0.286 0.564
Ni 0.500 0.000 0.500
Ho 0.000 0.179 0.321
Ho 0.000 0.821 0.679
Ho 0.000 0.679 0.179
Ho 0.000 0.321 0.821
In 0.000 0.000 0.000
In 0.000 0.500 0.500
Zn 0.000 0.384 0.116
Zn 0.000 0.884 0.384
Zn 0.000 0.116 0.616
Zn 0.000 0.616 0.884
CELL_PARAMETERS angstrom
-3.094 0.148 1.892
1.161 -8.874 2.589
4.732 2.812 7.517
```

***

Entry from Alexandria: a relaxed structure of HoZnInNi (PBE). Values from VASP.

DFT total energy   -3.942 eV per atom
Spin magnetization   0.00 μB/f.u.
Symmetry   F-43m (216)
Density of states at the Fermi level   2.469 states/eV/f.u.
Formation energy from the elements   -0.350 eV per atom

Structure (Quantum ESPRESSO input):
```
&SYSTEM
  ibrav = 0, nat = 4, ntyp = 4
/
ATOMIC_SPECIES
Zn 65.41 Zn.upf
Ho 164.93 Ho.upf
In 114.82 In.upf
Ni 58.69 Ni.upf
ATOMIC_POSITIONS crystal
Zn 0.500 0.500 0.500
Ho 0.750 0.750 0.750
In 0.250 0.250 0.250
Ni 0.000 0.000 0.000
CELL_PARAMETERS angstrom
4.695 0.000 0.000
2.348 4.066 0.000
2.348 1.355 3.834
```

***

Entry from Alexandria: a relaxed structure of HoNpIn (PBE). Values from VASP.

DFT total energy   -6.833 eV per atom
Spin magnetization   1.97 μB/f.u.
Symmetry   C2/m (12)
Density of states at the Fermi level   4.377 states/eV/f.u.
Formation energy from the elements   -0.080 eV per atom

Structure (Quantum ESPRESSO input):
```
&SYSTEM
  ibrav = 0, nat = 6, ntyp = 3
/
ATOMIC_SPECIES
Ho 164.93 Ho.upf
Np 237.00 Np.upf
In 114.82 In.upf
ATOMIC_POSITIONS crystal
Ho 0.092 0.318 0.184
Ho 0.908 0.682 0.816
Np 0.243 0.842 0.486
Np 0.757 0.158 0.514
In 0.424 0.180 0.848
In 0.576 0.820 0.152
CELL_PARAMETERS angstrom
3.555 0.000 0.000
0.000 5.262 0.122
-1.777 -0.926 8.152
```